DFT (PBE) results for a geometry-optimized GaBiIr structure.

a b c (Å): 4.597 6.050 7.087
angles (deg): 51.99 71.07 67.67
Sites, in units of the cell vectors:
Ir (0.415, 0.776, 0.394)
Ir (0.585, 0.224, 0.606)
Bi (0.352, 0.339, 0.958)
Bi (0.648, 0.661, 0.042)
Ga (0.171, 0.092, 0.566)
Ga (0.829, 0.908, 0.434)

Properties
Space group   No. 12
Energy relative to the elements   -0.012 eV/atom
Total magnetic moment   0.000 μB per formula unit
Volume   143 Å³/cell